No. 1
Y4CuTc | PBE-GGA | relaxed

Lattice parameters (Å, degrees): 7.4076 7.4076 6.3441 97.88 97.88 112.67
With the nearest neighbours (Å) after each atom.
Atoms (fractional coordinates):
Y: 0.0738 0.7228 0.9657  2 Tc 2.78-2.82, 1 Cu 3.01
Y: 0.2217 0.3740 0.5750  2 Tc 2.93-3.08, 2 Cu 3.02-3.07
Y: 0.2772 0.9262 0.5343  2 Tc 2.78-2.82, 1 Cu 3.01
Y: 0.3740 0.2217 0.0750  2 Tc 2.93-3.08, 2 Cu 3.02-3.07
Y: 0.6260 0.7783 0.9250  2 Tc 2.93-3.08, 2 Cu 3.02-3.07
Y: 0.7228 0.0738 0.4657  2 Tc 2.78-2.82, 1 Cu 3.01
Y: 0.7783 0.6260 0.4250  2 Tc 2.93-3.08, 2 Cu 3.02-3.07
Y: 0.9262 0.2772 0.0343  2 Tc 2.78-2.82, 1 Cu 3.01
Cu: 0.3715 0.6285 0.2500  8 Y 3.01-3.27
Cu: 0.6285 0.3715 0.7500  8 Y 3.01-3.27
Tc: 0.0014 0.9986 0.7500  8 Y 2.78-3.08
Tc: 0.9986 0.0014 0.2500  8 Y 2.78-3.08

Summary:
Energy above the most stable polymorph in this dataset, meV/atom: 0
Symmetry: C2/c
Size of the total moment, μB/f.u.: 0.00
Mass density, g/cm3: 5.52

***

No. 2
YCu2Tc | PBE-GGA | relaxed

Lattice parameters (Å, degrees): 9.1201 9.1201 9.1201 18.47 18.47 18.47
With the nearest neighbours (Å) after each atom.
Atoms (fractional coordinates):
Y: 0.0000 0.0000 0.0000  6 Y 2.93, 3 Cu 3.00, 3 Tc 3.08
Cu: 0.2410 0.2410 0.2410  3 Cu 2.53
Cu: 0.5043 0.5043 0.5043  3 Cu 2.53, 3 Tc 2.64
Tc: 0.7624 0.7624 0.7624  3 Cu 2.64, 6 Tc 2.93

Summary:
Energy above the most stable polymorph in this dataset, meV/atom: 383
Symmetry: R3m
Size of the total moment, μB/f.u.: 0.00
Mass density, g/cm3: 7.84

***

No. 3
Y2CuTc | PBE-GGA | relaxed

Lattice parameters (Å, degrees): 3.4616 3.4616 7.0049 90.00 90.00 90.00
With the nearest neighbours (Å) after each atom.
Atoms (fractional coordinates):
Y: 0.0000 0.0000 0.2366  4 Tc 2.96, 4 Cu 3.07
Y: 0.0000 0.0000 0.7634  4 Tc 2.96, 4 Cu 3.07
Cu: 0.5000 0.5000 0.5000  8 Y 3.07
Tc: 0.5000 0.5000 0.0000  8 Y 2.96

Summary:
Symmetry: P4/mmm
Size of the total moment, μB/f.u.: 0.00
Mass density, g/cm3: 6.71
Total energy, eV/atom: -6.941

***

No. 4
YCuTc | PBE-GGA | relaxed

Lattice parameters (Å, degrees): 4.5346 4.5346 4.5346 60.00 60.00 60.00
With the nearest neighbours (Å) after each atom.
Atoms (fractional coordinates):
Y: 0.0000 0.0000 0.0000  4 Tc 2.78, 4 Cu 2.78
Cu: 0.2500 0.2500 0.2500  4 Y 2.78
Tc: 0.7500 0.7500 0.7500  4 Y 2.78

Summary:
Energy above the most stable polymorph in this dataset, meV/atom: 971
Symmetry: F-43m
Size of the total moment, μB/f.u.: 1.66
Mass density, g/cm3: 6.31

***

No. 5
YCuTc | PBE-GGA | relaxed

Lattice parameters (Å, degrees): 3.2374 3.2374 6.3307 90.00 90.00 120.00
With the nearest neighbours (Å) after each atom.
Atoms (fractional coordinates):
Y: 0.0000 0.0000 0.0000  3 Tc 2.88, 3 Cu 2.99
Cu: 0.3333 0.6667 0.3687  3 Tc 2.60
Tc: 0.6667 0.3333 0.6543  3 Cu 2.60, 3 Y 2.88

Summary:
Energy above the most stable polymorph in this dataset, meV/atom: 395
Symmetry: P3m1
Size of the total moment, μB/f.u.: 1.12
Mass density, g/cm3: 7.24

***

No. 6
Y2CuTc | PBE-GGA | relaxed

Lattice parameters (Å, degrees): 4.8233 4.8233 4.8233 60.00 60.00 60.00
With the nearest neighbours (Å) after each atom.
Atoms (fractional coordinates):
Y: 0.0000 0.0000 0.0000  4 Cu 2.95, 4 Y 2.95
Y: 0.2500 0.2500 0.2500  4 Tc 2.95, 4 Y 2.95
Cu: 0.7500 0.7500 0.7500  4 Tc 2.95, 4 Y 2.95
Tc: 0.5000 0.5000 0.5000  4 Cu 2.95, 4 Y 2.95

Summary:
Symmetry: F-43m
Size of the total moment, μB/f.u.: 0.00
Mass density, g/cm3: 7.10
Total energy, eV/atom: -6.535

***

No. 7
YCu2Tc | PBE-GGA | relaxed

Lattice parameters (Å, degrees): 9.3286 9.3286 9.3286 17.88 17.88 17.88
With the nearest neighbours (Å) after each atom.
Atoms (fractional coordinates):
Y: 0.0000 0.0000 0.0000  6 Y 2.90, 6 Cu 3.03
Cu: 0.2416 0.2416 0.2416  3 Tc 2.66, 6 Cu 2.90
Cu: 0.7584 0.7584 0.7584  3 Tc 2.66, 6 Cu 2.90
Tc: 0.5000 0.5000 0.5000  6 Cu 2.66, 6 Tc 2.90

Summary:
Energy above the most stable polymorph in this dataset, meV/atom: 445
Symmetry: R-3m
Size of the total moment, μB/f.u.: 0.64
Mass density, g/cm3: 7.80

***

No. 8
YCu2Tc | PBE-GGA | relaxed

Lattice parameters (Å, degrees): 3.3209 3.3209 6.0968 90.00 90.00 90.00
With the nearest neighbours (Å) after each atom.
Atoms (fractional coordinates):
Y: 0.0000 0.0000 0.0000  6 Cu 2.95-3.06, 4 Tc 2.97
Cu: 0.0000 0.0000 0.5023  4 Tc 2.64, 4 Cu 2.67
Cu: 0.5000 0.5000 0.2922  1 Tc 2.50, 4 Cu 2.67
Tc: 0.5000 0.5000 0.7015  5 Cu 2.50-2.64

Summary:
Energy above the most stable polymorph in this dataset, meV/atom: 71
Symmetry: P4mm
Size of the total moment, μB/f.u.: 0.00
Mass density, g/cm3: 7.75

***

Q: Which of these has the highest size of the total moment?
A: number 4